Computed, not measured: a relaxed structure of Mn3ReSb at the PBE level of DFT.

Calculated values
excess energy over the best structure of this formula in the dataset = 0.0 meV per atom
uncorrected formation energy = 1.10 eV/atom
final energy = -38.57 eV per formula unit
calculated volume = 20.29 Å³ per atom

Geometry as POSCAR:
```
Mn3ReSb
1.0
4.664 0.000 0.000
0.000 4.664 0.000
0.000 0.000 4.664
Re Mn Sb
1 3 1
Direct
0.000 0.000 0.000
0.000 0.500 0.000
0.000 0.000 0.500
0.500 0.000 0.000
0.500 0.500 0.500
```